Record 1
VASP calculation (PBE) on a relaxed CsPaPt crystal.

Values from the calculation:
E in eV per atom: -4.156
SG: No. 216
Calculated density in g/cm3: 11.235
Calculated volume in A^3/atom: 27.54
Energy above the lowest structure with this stoichiometry in eV per atom: 0.577

Lattice parameters (Å, degrees): 4.8889 4.8889 4.8889 60.00 60.00 60.00
Closest atoms and distances in Å follow each position.
Element x y z (fractional)
1 Cs 0.0000 0.0000 0.0000  4 Pt 2.99, 4 Pa 2.99
2 Pa 0.7500 0.7500 0.7500  4 Cs 2.99
3 Pt 0.2500 0.2500 0.2500  4 Cs 2.99



Record 2
VASP calculation (PBE) on a relaxed LiTlNiPd crystal.

Values from the calculation:
E in eV per atom: -3.919
SG: No. 216
Calculated density in g/cm3: 10.392
Calculated volume in A^3/atom: 15.04
Energy above the lowest structure with this stoichiometry in eV per atom: 0.000

Lattice parameters (Å, degrees): 4.3980 4.3980 4.3980 60.00 60.00 60.00
Closest atoms and distances in Å follow each position.
Element x y z (fractional)
1 Li 0.2500 0.2500 0.2500  4 Pd 2.69, 4 Tl 2.69
2 Ni 0.7500 0.7500 0.7500  4 Tl 2.69, 4 Pd 2.69
3 Pd 0.5000 0.5000 0.5000  4 Li 2.69, 4 Ni 2.69
4 Tl 0.0000 0.0000 0.0000  4 Ni 2.69, 4 Li 2.69



Record 3
VASP calculation (PBE) on a relaxed Tc2SnGe2 crystal.

Values from the calculation:
E in eV per atom: -6.778
SG: No. 139
Calculated density in g/cm3: 9.031
Calculated volume in A^3/atom: 16.92
Energy above the lowest structure with this stoichiometry in eV per atom: 0.000

Lattice parameters (Å, degrees): 7.0399 7.0399 7.0399 150.47 150.47 42.26
Closest atoms and distances in Å follow each position.
Element x y z (fractional)
1 Ge 0.7500 0.2500 0.5000  4 Ge 2.54, 4 Tc 2.57
2 Ge 0.2500 0.7500 0.5000  4 Ge 2.54, 4 Tc 2.57
3 Sn 0.0000 0.0000 0.0000  8 Tc 2.92
4 Tc 0.3897 0.3897 0.0000  4 Ge 2.57
5 Tc 0.6103 0.6103 0.0000  4 Ge 2.57



Record 4
VASP calculation (PBE) on a relaxed HoNbPO crystal.

Values from the calculation:
E in eV per atom: -8.025
SG: No. 26
Calculated density in g/cm3: 7.858
Calculated volume in A^3/atom: 16.10
Energy above the lowest structure with this stoichiometry in eV per atom: 0.218

Lattice parameters (Å, degrees): 4.1792 4.7187 6.5329 90.00 90.00 90.00
Closest atoms and distances in Å follow each position.
Element x y z (fractional)
1 Ho 0.0000 0.6598 0.0875  3 O 2.45-2.67
2 Ho 0.0000 0.3402 0.5875  3 O 2.45-2.67
3 Nb 0.5000 0.8643 0.4399  2 O 2.09
4 Nb 0.5000 0.1357 0.9399  2 O 2.09
5 O 0.0000 0.8657 0.4355  2 Nb 2.09
6 O 0.0000 0.1343 0.9355  2 Nb 2.09
7 P 0.5000 0.3601 0.2911  3 Nb 2.53-2.57
8 P 0.5000 0.6399 0.7911  3 Nb 2.53-2.57



Record 5
VASP calculation (PBE) on a relaxed HfZr2B crystal.

Values from the calculation:
E in eV per atom: -7.919
SG: No. 216
Calculated density in g/cm3: 8.632
Calculated volume in A^3/atom: 17.88

Lattice parameters (Å, degrees): 4.6592 4.6592 4.6592 60.00 60.00 60.00
Closest atoms and distances in Å follow each position.
Element x y z (fractional)
1 B 0.5000 0.5000 0.5000  4 Hf 2.85, 4 Zr 2.85
2 Hf 0.2500 0.2500 0.2500  4 B 2.85, 4 Zr 2.85
3 Zr 0.0000 0.0000 0.0000  4 Hf 2.85, 4 Zr 2.85
4 Zr 0.7500 0.7500 0.7500  4 B 2.85, 4 Zr 2.85



Record 6
VASP calculation (PBE) on a relaxed Sr2Cu crystal.

Values from the calculation:
E in eV per atom: -1.641
SG: No. 227
Calculated density in g/cm3: 1.398
Calculated volume in A^3/atom: 94.55

Lattice parameters (Å, degrees): 9.2921 9.2921 9.2921 60.00 60.00 60.00
Closest atoms and distances in Å follow each position.
Element x y z (fractional)
1 Cu 0.2500 0.2500 0.2500  4 Sr 2.85
2 Cu 0.5000 0.5000 0.5000  4 Sr 2.85
3 Sr 0.8750 0.3750 0.3750  2 Cu 2.85
4 Sr 0.3750 0.8750 0.3750  2 Cu 2.85
5 Sr 0.3750 0.3750 0.3750  2 Cu 2.85
6 Sr 0.3750 0.3750 0.8750  2 Cu 2.85



Record 7
VASP calculation (PBE) on a relaxed CsRe2 crystal.

Values from the calculation:
E in eV per atom: -6.680
SG: No. 194
Calculated density in g/cm3: 12.835
Calculated volume in A^3/atom: 21.79
Energy above the lowest structure with this stoichiometry in eV per atom: 0.000

Lattice parameters (Å, degrees): 5.9087 5.9087 8.6487 90.00 90.00 120.00
Closest atoms and distances in Å follow each position.
Element x y z (fractional)
1 Cs 0.6667 0.3333 0.0517  12 Re 3.18-3.44, 4 Cs 3.43-3.53
2 Cs 0.6667 0.3333 0.4483  12 Re 3.18-3.44, 4 Cs 3.43-3.53
3 Cs 0.3333 0.6667 0.5517  12 Re 3.18-3.44, 4 Cs 3.43-3.53
4 Cs 0.3333 0.6667 0.9483  12 Re 3.18-3.44, 4 Cs 3.43-3.53
5 Re 0.0000 0.0000 0.0000  6 Re 2.69
6 Re 0.1562 0.3123 0.2500  4 Re 2.69-2.77
7 Re 0.1562 0.8438 0.2500  4 Re 2.69-2.77
8 Re 0.6877 0.8438 0.2500  4 Re 2.69-2.77
9 Re 0.0000 0.0000 0.5000  6 Re 2.69
10 Re 0.3123 0.1562 0.7500  4 Re 2.69-2.77
11 Re 0.8438 0.1562 0.7500  4 Re 2.69-2.77
12 Re 0.8438 0.6877 0.7500  4 Re 2.69-2.77



Record 8
VASP calculation (PBE) on a relaxed DyScAg2O4 crystal.

Values from the calculation:
E in eV per atom: -6.789
SG: No. 164
Calculated density in g/cm3: 6.730
Calculated volume in A^3/atom: 15.03

Lattice parameters (Å, degrees): 3.3308 3.3308 12.5113 90.00 90.00 120.00
Closest atoms and distances in Å follow each position.
Element x y z (fractional)
1 Ag 0.3333 0.6667 0.2437  2 O 2.08
2 Ag 0.6667 0.3333 0.7563  2 O 2.08
3 Dy 0.0000 0.0000 0.5000  6 O 2.23
4 O 0.3333 0.6667 0.0777  1 Ag 2.08, 3 Sc 2.15
5 O 0.3333 0.6667 0.4095  1 Ag 2.08, 3 Dy 2.23
6 O 0.6667 0.3333 0.5905  1 Ag 2.08, 3 Dy 2.23
7 O 0.6667 0.3333 0.9223  1 Ag 2.08, 3 Sc 2.15
8 Sc 0.0000 0.0000 0.0000  6 O 2.15



Record 9
VASP calculation (PBE) on a relaxed SiNi2Ge crystal.

Values from the calculation:
E in eV per atom: -5.696
SG: No. 31
Calculated density in g/cm3: 7.015
Calculated volume in A^3/atom: 12.91

Lattice parameters (Å, degrees): 3.4537 5.2781 5.6644 90.00 90.00 90.00
Closest atoms and distances in Å follow each position.
Element x y z (fractional)
1 Ge 0.0000 0.9344 0.0887  6 Ni 2.37-2.48
2 Ge 0.5000 0.0656 0.5887  6 Ni 2.37-2.48
3 Ni 0.5000 0.2534 0.1884  3 Si 2.28-2.34, 3 Ge 2.47-2.48
4 Ni 0.5000 0.7295 0.3124  3 Ge 2.37-2.40, 3 Si 2.39-2.44, 1 Ni 2.61
5 Ni 0.0000 0.7466 0.6884  3 Si 2.28-2.34, 3 Ge 2.47-2.48
6 Ni 0.0000 0.2705 0.8124  3 Ge 2.37-2.40, 3 Si 2.39-2.44, 1 Ni 2.61
7 Si 0.0000 0.4340 0.4104  6 Ni 2.28-2.44
8 Si 0.5000 0.5660 0.9104  6 Ni 2.28-2.44



Record 10
VASP calculation (PBE) on a relaxed NiPb crystal.

Values from the calculation:
E in eV per atom: -4.055
SG: No. 216
Calculated density in g/cm3: 8.567
Calculated volume in A^3/atom: 25.77

Lattice parameters (Å, degrees): 4.1772 4.1772 4.1772 60.00 60.00 60.00
Closest atoms and distances in Å follow each position.
Element x y z (fractional)
1 Ni 0.0000 0.0000 0.0000  4 Pb 2.56
2 Pb 0.2500 0.2500 0.2500  4 Ni 2.56



Record 11
VASP calculation (PBE) on a relaxed YRePd2 crystal.

Values from the calculation:
E in eV per atom: -7.156
ΔH_f (0 K) in eV per atom: 0.15
SG: No. 216
Calculated density in g/cm3: 11.462
Calculated volume in A^3/atom: 17.67

Lattice parameters (Å, degrees): 4.6412 4.6412 4.6412 60.00 60.00 60.00
Closest atoms and distances in Å follow each position.
Element x y z (fractional)
1 Pd 0.0000 0.0000 0.0000  4 Y 2.84, 4 Pd 2.84
2 Pd 0.7500 0.7500 0.7500  4 Re 2.84, 4 Pd 2.84
3 Re 0.5000 0.5000 0.5000  4 Pd 2.84, 4 Y 2.84
4 Y 0.2500 0.2500 0.2500  4 Re 2.84, 4 Pd 2.84



Record 12
VASP calculation (PBE) on a relaxed MgSiTeMo crystal.

Values from the calculation:
E in eV per atom: -4.956
SG: No. 216
Calculated density in g/cm3: 6.358
Calculated volume in A^3/atom: 18.02
Energy above the lowest structure with this stoichiometry in eV per atom: 0.000

Lattice parameters (Å, degrees): 4.6710 4.6710 4.6710 60.00 60.00 60.00
Closest atoms and distances in Å follow each position.
Element x y z (fractional)
1 Mg 0.7500 0.7500 0.7500  4 Si 2.86, 4 Te 2.86
2 Mo 0.2500 0.2500 0.2500  4 Si 2.86, 4 Te 2.86
3 Si 0.0000 0.0000 0.0000  4 Mo 2.86, 4 Mg 2.86
4 Te 0.5000 0.5000 0.5000  4 Mo 2.86, 4 Mg 2.86



> calculated volume of number 7 (CsRe2)?

21.79 A^3/atom



> Among the records above, which one has the highest E?

Sr2Cu